Below is a relaxed La4Nd2HoMg crystal, with properties calculated at the PBE level.

abc: 5.1588 5.1588 10.2529
angles: 90.00 90.00 90.00
Closest atoms and distances in Å follow each position.
Space group P4/mmm (No. 123)
Inequivalent atoms, fractional coordinates:
La 0.0000 0.5000 0.2470  2 Mg 3.61, 4 Nd 3.61-3.66, 4 La 3.65, 2 Ho 3.66
Nd 0.0000 0.0000 0.0000  8 La 3.61, 4 Mg 3.65
Nd 0.5000 0.5000 0.5000  4 Ho 3.65, 8 La 3.66
Ho 0.0000 0.0000 0.5000  4 Nd 3.65, 8 La 3.66
Mg 0.5000 0.5000 0.0000  8 La 3.61, 4 Nd 3.65

total magnetic moment = 0.00 μB per cell
formation energy from the elements = -1 meV per atom
DOS(E_F) = 1.354 states/eV/atom

Below is a relaxed Rb2YGaIr crystal, with properties calculated at the PBE level.

abc: 6.2292 6.2292 4.7785
angles: 90.00 90.00 90.00
Closest atoms and distances in Å follow each position.
Space group P4/mmm (No. 123)
Inequivalent atoms, fractional coordinates:
Rb 0.0000 0.5000 0.0000  2 Ga 3.11
Y 0.0000 0.0000 0.5000  8 Rb 3.93
Ga 0.5000 0.5000 0.0000  2 Ir 2.39
Ir 0.5000 0.5000 0.5000  2 Ga 2.39

total magnetic moment = 0.00 μB per cell
formation energy from the elements = 824 meV per atom
DOS(E_F) = 1.078 states/eV/atom

Below is a relaxed TlPIr crystal, with properties calculated at the PBE level.

abc: 3.0331 3.0331 13.4505
angles: 90.00 90.00 90.00
Closest atoms and distances in Å follow each position.
Space group I4mm (No. 107)
Inequivalent atoms, fractional coordinates:
Tl 0.0000 0.0000 0.0000  4 Tl 3.03, 4 Ir 3.34
P 0.0000 0.0000 0.7274  4 Ir 2.41
Ir 0.0000 0.0000 0.3092  4 P 2.41

total magnetic moment = 0.00 μB per cell
formation energy from the elements = 19 meV per atom
DOS(E_F) = 0.682 states/eV/atom
polymorph energy (0 for the lowest one) = 0.264 eV/atom

Below is a relaxed Mg4AgRh3 crystal, with properties calculated at the PBE level.

abc: 4.4701 4.4701 21.8454
angles: 90.00 90.00 120.00
Closest atoms and distances in Å follow each position.
Space group R-3m (No. 166, hexagonal axes)
Inequivalent atoms, fractional coordinates:
Mg 0.0000 0.0000 0.1210  5 Rh 2.64-2.76, 3 Ag 2.77
Mg 0.0000 0.0000 0.3711  7 Rh 2.71-2.79, 1 Ag 2.82
Ag 0.0000 0.0000 0.5000  8 Mg 2.77-2.82
Rh 0.0000 0.0000 0.0000  8 Mg 2.64-2.71
Rh 0.0000 0.0000 0.2473  8 Mg 2.69-2.79

total magnetic moment = 0.00 μB per cell
formation energy from the elements = -453 meV per atom
DOS(E_F) = 0.597 states/eV/atom

Below is a relaxed SrHoZn2Pt2 crystal, with properties calculated at the PBE level.

abc: 4.4352 4.4352 7.7854
angles: 90.00 90.00 120.00
Closest atoms and distances in Å follow each position.
Space group P-3m1 (No. 164)
Inequivalent atoms, fractional coordinates:
Sr 0.0000 0.0000 0.0000  6 Zn 3.38, 6 Pt 3.43
Ho 0.0000 0.0000 0.5000  6 Pt 3.02, 6 Zn 3.06
Zn 0.3333 0.6667 0.7157  3 Pt 2.56
Pt 0.3333 0.6667 0.2940  3 Zn 2.56

total magnetic moment = 0.00 μB per cell
formation energy from the elements = -826 meV per atom
DOS(E_F) = 0.881 states/eV/atom

Below is a relaxed IrSN2 crystal, with properties calculated at the PBE level.

abc: 2.8160 2.8160 18.1059
angles: 90.00 90.00 120.00
Closest atoms and distances in Å follow each position.
Space group R-3m (No. 166, hexagonal axes)
Inequivalent atoms, fractional coordinates:
Ir 0.0000 0.0000 0.0000  2 N 1.99
S 0.0000 0.0000 0.5000  6 N 1.92
N 0.0000 0.0000 0.1098  3 S 1.92, 1 Ir 1.99

total magnetic moment = 0.00 μB per cell
VASP energy = -6.3810 eV per atom
DOS(E_F) = 0.406 states/eV/atom

Below is a relaxed La2CdSn8 crystal, with properties calculated at the PBE level.

abc: 4.6823 4.6823 14.4039
angles: 90.00 90.00 90.00
Closest atoms and distances in Å follow each position.
Space group P4/mmm (No. 123)
Inequivalent atoms, fractional coordinates:
La 0.0000 0.0000 0.1649  12 Sn 3.32-3.57
Cd 0.0000 0.0000 0.5000  8 Sn 3.17
Sn 0.0000 0.5000 0.0000  8 Sn 3.31-3.52, 4 La 3.34
Sn 0.0000 0.5000 0.3517  2 Cd 3.17, 6 Sn 3.31-3.38
Sn 0.5000 0.5000 0.1821  4 La 3.32, 8 Sn 3.38-3.52

total magnetic moment = 0.00 μB per cell
formation energy from the elements = -343 meV per atom
DOS(E_F) = 0.748 states/eV/atom

Below is a relaxed KTcAs2Br crystal, with properties calculated at the PBE level.

abc: 5.6027 5.6027 5.5835
angles: 90.00 90.00 90.00
Closest atoms and distances in Å follow each position.
Space group P4/mmm (No. 123)
Inequivalent atoms, fractional coordinates:
K 0.0000 0.0000 0.0000  2 Br 2.79, 4 As 2.80
Tc 0.5000 0.5000 0.5000  8 As 3.95, 4 Br 3.96
As 0.0000 0.5000 0.0000  2 K 2.80
Br 0.0000 0.0000 0.5000  2 K 2.79

total magnetic moment = 2.99 μB per cell
DOS(E_F) = 0.792 states/eV/atom
polymorph energy (0 for the lowest one) = 1.922 eV/atom

Below is a relaxed Y3Ag5Te12 crystal, with properties calculated at the PBE level.

abc: 17.2403 17.2403 17.2403
angles: 90.00 90.00 90.00
Closest atoms and distances in Å follow each position.
Space group Ia-3d (No. 230)
Inequivalent atoms, fractional coordinates:
Y 0.0000 0.2500 0.1250  8 Te 3.20-3.21
Ag 0.0000 0.0000 0.0000  6 Te 2.88
Ag 0.0000 0.2500 0.3750  4 Te 2.75
Te 0.0182 0.0669 0.6522  2 Ag 2.75-2.88

total magnetic moment = 0.00 μB per cell
VASP energy = -3.9598 eV per atom
DOS(E_F) = 0.884 states/eV/atom

Below is a relaxed YHgIr2 crystal, with properties calculated at the PBE level.

abc: 3.1771 3.1771 26.5268
angles: 90.00 90.00 120.00
Closest atoms and distances in Å follow each position.
Space group R-3m (No. 166, hexagonal axes)
Inequivalent atoms, fractional coordinates:
Y 0.0000 0.0000 0.0000  6 Ir 2.85, 6 Y 3.18
Hg 0.0000 0.0000 0.5000  6 Ir 2.90, 6 Hg 3.18
Ir 0.0000 0.0000 0.2511  3 Y 2.85, 3 Hg 2.90, 6 Ir 3.18

total magnetic moment = 0.00 μB per cell
formation energy from the elements = 184 meV per atom
DOS(E_F) = 0.724 states/eV/atom

Below is a relaxed V2SbTe2 crystal, with properties calculated at the PBE level.

abc: 4.4326 4.4326 11.6352
angles: 90.00 90.00 90.00
Closest atoms and distances in Å follow each position.
Space group I4/mmm (No. 139)
Inequivalent atoms, fractional coordinates:
V 0.0000 0.0000 0.1107  1 V 2.58, 4 Te 2.75
Sb 0.0000 0.0000 0.5000  8 V 3.39, 8 Te 3.66
Te 0.0000 0.5000 0.2500  4 V 2.75

total magnetic moment = 2.26 μB per cell
DOS(E_F) = 1.170 states/eV/atom
polymorph energy (0 for the lowest one) = 0.323 eV/atom

Below is a relaxed ZrNp4S5 crystal, with properties calculated at the PBE level.

abc: 12.7469 3.8714 9.3672
angles: 90.00 119.14 90.00
Closest atoms and distances in Å follow each position.
Space group C2/m (No. 12)
Inequivalent atoms, fractional coordinates:
Zr 0.0000 0.0000 0.0000  6 S 2.67-2.68
Np 0.1017 0.5000 0.4002  6 S 2.72-2.77
Np 0.2003 0.0000 0.8044  6 S 2.70-2.75
S 0.0000 0.0000 0.5000  6 Np 2.73-2.75
S 0.0963 0.5000 0.9032  2 Zr 2.68, 4 Np 2.70-2.75
S 0.1965 0.0000 0.2930  1 Zr 2.67, 5 Np 2.72-2.77

total magnetic moment = 0.25 μB per cell
VASP energy = -9.4801 eV per atom
DOS(E_F) = 2.983 states/eV/atom